Entry from the Alexandria database: a relaxed SrNdCoO4 crystal (PBE+U).

Raw total energy ... -6.82 eV per atom
Spin magnetization ... 0.29 μB/atom

Unit cell a=5.3775 b=12.5911 c=5.3952 alpha=90.00 beta=90.00 gamma=90.00
Space group Cmcm (No. 63)
Unique sites:
Sr1 0.0000 0.1047 0.2500 x4
Nd1 0.0000 0.3872 0.2500 x4
Co1 0.0000 0.2492 0.7500 x4
O1 0.0000 0.0884 0.7500 x4
O2 0.0000 0.4267 0.7500 x4
O3 0.2500 0.2500 0.0000 x8